Record 1
A relaxed structure of Ta2FeTc, computed with PBE.

Geometry as POSCAR:
```
Ta2FeTc
1.0
-1.9041 1.8081 -1.8716
-3.2071 -0.0662 3.1988
1.6586 3.5441 1.7363
Fe Ta Tc
1 2 1
Cartesian
-0.7743 1.7389 2.4676
0.0000 0.0000 0.0000
-2.5556 0.8709 0.6636
-0.1227 2.6761 -0.0676
```

Total energy = -10.6983 eV/atom
Space group = Pmmm


Record 2
A relaxed structure of TaFeTc2, computed with PBE.

Geometry as POSCAR:
```
TaFeTc2
1.0
-2.6888 -2.2349 2.6252
1.2096 -3.9020 1.5579
0.9650 -0.4576 4.2397
Fe Ta Tc
1 1 2
Cartesian
-0.2571 -3.2972 4.2114
-0.3856 -4.9458 6.3171
0.0000 0.0000 0.0000
-0.1285 -1.6486 2.1057
```

Total energy = -10.2755 eV/atom
Space group = F-43m


Record 3
A relaxed structure of Ta5FeTc4, computed with PBE.

Geometry as POSCAR:
```
Ta5FeTc4
1.0
-2.2709 1.3089 -1.7940
-2.0040 -0.1022 2.4621
4.7421 14.3333 4.4547
Ta Fe Tc
5 1 4
Cartesian
-1.6851 1.9706 0.7590
-0.7285 4.8621 1.6576
0.2336 7.7700 2.5614
1.1957 10.6780 3.4651
2.1523 13.5695 4.3638
0.0000 0.0000 0.0000
0.9260 2.7989 0.8699
1.8896 5.7113 1.7750
2.8526 8.6221 2.6797
3.8161 11.5345 3.5848
```

Total energy = -11.3370 eV/atom
Space group = P4/mmm


Record 4
A relaxed structure of Ta2FeTc, computed with PBE.

Geometry as POSCAR:
```
Ta2FeTc
1.0
-2.4212 -3.1725 -8.4127
0.0807 -4.4772 -8.1639
-2.2453 -5.6506 -7.0519
Fe Ta Tc
1 2 1
Cartesian
-1.1264 -3.2670 -5.8040
-4.5531 -13.2057 -23.4605
-3.4566 -10.0255 -17.8109
-2.3281 -6.7523 -11.9959
```

Total energy = -10.4037 eV/atom
Space group = R3m


Record 5
A relaxed structure of TaFeTc, computed with PBE.

Geometry as POSCAR:
```
TaFeTc
1.0
4.2080 0.0000 0.0000
2.1040 3.6443 0.0000
2.1040 1.2148 3.4358
Fe Ta Tc
1 1 1
Cartesian
4.2080 2.4295 1.7179
6.3120 3.6443 2.5769
0.0000 0.0000 0.0000
```

Total energy = -9.4603 eV/atom
Polymorph energy (0 for the lowest one) = 840.2 meV per atom
Space group = F-43m


Record 6
A relaxed structure of TaTiFeTc, computed with PBE.

Geometry as POSCAR:
```
TaTiFeTc
1.0
3.1019 0.0000 0.0000
0.0000 3.1019 0.0000
0.0000 0.0000 6.1121
Ta Ti Fe Tc
1 1 1 1
Cartesian
0.0000 0.0000 2.1406
0.0000 0.0000 5.2592
1.5509 1.5509 0.6494
1.5509 1.5509 3.7348
```

Total energy = -10.0442 eV/atom
Space group = P4mm


Record 7
A relaxed structure of Ta2Ti5Fe2Tc, computed with PBE.

Geometry as POSCAR:
```
Ta2Ti5Fe2Tc
1.0
3.0774 0.0000 0.0000
0.0000 10.0758 0.0000
0.0000 0.0000 10.0758
Ta Ti Fe Tc
4 10 4 2
Cartesian
0.0000 6.8557 1.8178
0.0000 3.2202 8.2581
0.0000 1.8178 3.2202
0.0000 8.2581 6.8557
1.5387 2.0411 0.5560
1.5387 8.0347 9.5198
1.5387 0.5560 8.0347
1.5387 7.0791 4.4819
1.5387 9.5198 2.0411
1.5387 2.9968 5.5939
1.5387 5.5939 7.0791
1.5387 4.4819 2.9968
1.5387 5.0379 0.0000
1.5387 0.0000 5.0379
0.0000 1.3014 6.3393
0.0000 8.7744 3.7365
0.0000 6.3393 8.7744
0.0000 3.7365 1.3014
0.0000 0.0000 0.0000
0.0000 5.0379 5.0379
```

Total energy = -9.1956 eV/atom
Space group = P4/mbm


Record 8
A relaxed structure of TaTiFe2Tc, computed with PBE.

Geometry as POSCAR:
```
TaTiFe2Tc
1.0
4.4456 0.0000 0.0000
0.0000 4.7215 0.0000
0.0000 0.0000 4.4456
Fe Ti Tc Ta
2 1 1 1
Cartesian
0.0000 0.0000 2.2228
2.2228 0.0000 0.0000
2.2228 2.3608 2.2228
0.0000 2.3608 0.0000
0.0000 0.0000 0.0000
```

Total energy = -8.0866 eV/atom
Space group = P4/mmm


Record 9
A relaxed structure of TaV2FeTc, computed with PBE.

Geometry as POSCAR:
```
TaV2FeTc
1.0
4.1955 0.0000 0.0000
0.0000 4.5210 0.0000
0.0000 0.0000 4.1955
Fe V Tc Ta
1 2 1 1
Cartesian
0.0000 0.0000 0.0000
0.0000 0.0000 2.0978
2.0978 0.0000 0.0000
0.0000 2.2605 0.0000
2.0978 2.2605 2.0978
```

Total energy = -9.0266 eV/atom
Space group = P4/mmm


Record 10
A relaxed structure of TaVFeTc, computed with PBE.

Geometry as POSCAR:
```
TaVFeTc
1.0
4.3152 0.0000 0.0000
2.1576 3.7371 0.0000
2.1576 1.2457 3.5234
Fe V Tc Ta
1 1 1 1
Cartesian
6.4728 3.7371 2.6425
0.0000 0.0000 0.0000
2.1576 1.2457 0.8808
4.3152 2.4914 1.7617
```

Total energy = -10.1648 eV/atom
Space group = F-43m


Record 11
A relaxed structure of TaFeTcW, computed with PBE.

Geometry as POSCAR:
```
TaFeTcW
1.0
4.4010 0.0000 0.0000
2.2005 3.8114 0.0000
2.2005 1.2705 3.5934
Fe Tc W Ta
1 1 1 1
Cartesian
2.2005 1.2705 0.8984
6.6015 3.8114 2.6951
0.0000 0.0000 0.0000
4.4010 2.5409 1.7967
```

Total energy = -10.9781 eV/atom
Space group = F-43m


Record 12
A relaxed structure of TaFeTe, computed with PBE.

Geometry as POSCAR:
```
TaFeTe
1.0
5.1267 -0.2859 0.3112
4.1764 2.9870 0.3108
0.9502 0.2763 3.2613
Fe Ta Te
1 1 1
Cartesian
9.2306 2.6801 0.6450
3.8304 1.1124 2.3512
6.4954 1.8860 1.5092
```

Total energy = -7.5337 eV/atom
Space group = I4mm
ΔE_f (raw) = 285 meV per atom